Below is crystalline Sc2RePb at its relaxed geometry, with properties calculated at the PBE level.

a = 5.3837 Å, b = 5.3837 Å, c = 5.3837 Å
α = 133.70°, β = 133.70°, γ = 67.55°
Closest atoms and distances in Å follow each position.
Fractional coordinates of all 4 atoms:
Pb 0.5000 0.5000 0.0000  8 Sc 2.99-3.08, 4 Re 3.08
Re 0.7500 0.2500 0.5000  8 Sc 2.99-3.08, 4 Pb 3.08
Sc 0.0000 0.0000 0.0000  4 Pb 2.99, 4 Re 3.08, 4 Sc 3.08
Sc 0.2500 0.7500 0.5000  4 Re 2.99, 4 Pb 3.08, 4 Sc 3.08

Formation energy from the elements ... 0.0746 eV/atom
Total magnetic moment ... 0.011 μB per atom
V ... 80.2 Å³ per cell